[1]
A plane-wave DFT calculation with GGA-PBE was carried out for a relaxed MoC2 crystal.

Cell: 3.0056 3.0056 13.0369 Å, 90.00 90.00 120.00°
Last column: nearest neighbours and their distance in Å.
Space group P-3m1 (No. 164)
One atom of each set of equivalent atoms:
Mo  0.0000  0.0000  0.0000 (multiplicity 1)  6 C 2.20
Mo  0.3333  0.6667  0.3540 (multiplicity 2)  4 C 1.95-2.11
C  0.0000  0.0000  0.4467 (multiplicity 2)  1 C 1.39
C  0.3333  0.6667  0.1038 (multiplicity 2)  1 C 1.32
C  0.3333  0.6667  0.2047 (multiplicity 2)  1 C 1.32

## Properties
Electronic total energy: -26.94 eV per formula unit
DFT formation energy: 0.778 eV per atom

***

[2]
A plane-wave DFT calculation with GGA-PBE was carried out for a relaxed Ac5Te4Ru crystal.

Cell: 10.4652 10.4652 6.7051 Å, 90.00 90.00 90.00°
Last column: nearest neighbours and their distance in Å.
Space group I4/m (No. 87)
One atom of each set of equivalent atoms:
Ac  0.0000  0.0000  0.0000 (multiplicity 2)  2 Ru 3.35, 4 Te 3.37
Ac  0.0927  0.7381  0.5000 (multiplicity 8)  1 Ru 2.91
Te  0.0875  0.6905  0.0000 (multiplicity 8)  6 Ac 3.36-3.56
Ru  0.0000  0.0000  0.5000 (multiplicity 2)  4 Ac 2.91

## Properties
Electronic total energy: -54.53 eV per formula unit
Formation energy from raw total energies: -1214 meV/atom

***

[3]
A plane-wave DFT calculation with GGA-PBE was carried out for a relaxed HgBO2 crystal.

Cell: 4.8858 4.8858 6.9919 Å, 90.00 90.00 90.00°
Last column: nearest neighbours and their distance in Å.
Space group I-42d (No. 122)
One atom of each set of equivalent atoms:
Hg  0.0000  0.0000  0.0000 (multiplicity 4)  8 O 2.66-2.90
B  0.0000  0.0000  0.5000 (multiplicity 4)  4 O 1.52
O  0.0509  0.7500  0.6250 (multiplicity 8)  2 B 1.52

## Properties
Electronic total energy: -21.49 eV per formula unit
Formation energy from raw total energies: -1148 meV/atom

***

[4]
A plane-wave DFT calculation with GGA-PBE was carried out for a relaxed ZrCrHg crystal.

Cell: 6.5981 6.5981 6.5981 Å, 90.00 90.00 90.00°
Last column: nearest neighbours and their distance in Å.
Space group F-43m (No. 216)
One atom of each set of equivalent atoms:
Zr  0.0000  0.0000  0.0000 (multiplicity 4)  4 Hg 2.86, 4 Cr 2.86
Cr  0.2500  0.2500  0.2500 (multiplicity 4)  4 Zr 2.86
Hg  0.2500  0.2500  0.7500 (multiplicity 4)  4 Zr 2.86

## Properties
Electronic total energy: -16.12 eV per formula unit
DFT formation energy: 0.785 eV per atom

***

[5]
A plane-wave DFT calculation with GGA-PBE was carried out for a relaxed Mn2TlSe crystal.

Cell: 3.2174 3.2174 7.1732 Å, 90.00 90.00 90.00°
Last column: nearest neighbours and their distance in Å.
Space group P4/mmm (No. 123)
One atom of each set of equivalent atoms:
Mn  0.0000  0.0000  0.2068 (multiplicity 2)  4 Se 2.72, 1 Mn 2.97
Tl  0.5000  0.5000  0.5000 (multiplicity 1)  8 Mn 3.10, 4 Tl 3.22
Se  0.5000  0.5000  0.0000 (multiplicity 1)  8 Mn 2.72

## Properties
Electronic total energy: -23.13 eV per formula unit
Formation energy from raw total energies: 265 meV/atom

***

[6]
A plane-wave DFT calculation with GGA-PBE was carried out for a relaxed YNi2Sb2 crystal.

Cell: 7.3308 7.3308 3.5606 Å, 90.00 90.00 90.00°
Last column: nearest neighbours and their distance in Å.
Space group P4/mbm (No. 127)
One atom of each set of equivalent atoms:
Y  0.0000  0.0000  0.0000 (multiplicity 2)  4 Ni 2.94, 8 Sb 3.24
Ni  0.1168  0.3832  0.0000 (multiplicity 4)  1 Ni 2.42
Sb  0.1736  0.6736  0.5000 (multiplicity 4)  6 Ni 2.81

## Properties
Electronic total energy: -28.01 eV per formula unit
Formation energy from raw total energies: -348 meV/atom

***

[7]
A plane-wave DFT calculation with GGA-PBE was carried out for a relaxed PPbSe crystal.

Cell: 3.5988 3.5988 10.9784 Å, 90.00 90.00 90.00°
Last column: nearest neighbours and their distance in Å.
Space group I4mm (No. 107)
One atom of each set of equivalent atoms:
P  0.0000  0.0000  0.0000 (multiplicity 2)  4 Se 2.63
Pb  0.0000  0.0000  0.7240 (multiplicity 2)  1 P 3.03, 1 Se 3.14
Se  0.0000  0.0000  0.4379 (multiplicity 2)  4 P 2.63

## Properties
Electronic total energy: -11.91 eV per formula unit
Formation energy from raw total energies: 230 meV/atom

***

[8]
A plane-wave DFT calculation with GGA-PBE was carried out for a relaxed BaYSb2H crystal.

Cell: 6.2832 6.2832 6.3294 Å, 90.00 90.00 90.00°
Last column: nearest neighbours and their distance in Å.
Space group P4/mmm (No. 123)
One atom of each set of equivalent atoms:
Ba  0.0000  0.0000  0.0000 (multiplicity 1)  4 Sb 3.14, 2 Y 3.16
Y  0.0000  0.0000  0.5000 (multiplicity 1)  2 Ba 3.16
Sb  0.0000  0.5000  0.0000 (multiplicity 2)  2 Ba 3.14
H  0.5000  0.5000  0.5000 (multiplicity 1)  4 Y 4.44, 8 Sb 4.46

## Properties
Electronic total energy: -13.26 eV per formula unit

***

[9]
A plane-wave DFT calculation with GGA-PBE was carried out for a relaxed CuICl crystal.

Cell: 7.3613 3.2486 15.3740 Å, 90.00 90.00 90.00°
Last column: nearest neighbours and their distance in Å.
Space group Pnma (No. 62)
One atom of each set of equivalent atoms:
Cu  0.0640  0.2500  0.0621 (multiplicity 4)  2 Cl 2.25
I  0.2244  0.2500  0.3967 (multiplicity 4)  1 Cu 2.58
Cl  0.2137  0.7500  0.1339 (multiplicity 4)  2 Cu 2.25

## Properties
Electronic total energy: -8.09 eV per formula unit
Formation energy from raw total energies: -200 meV/atom

***

[10]
A plane-wave DFT calculation with GGA-PBE was carried out for a relaxed ZrTlMo crystal.

Cell: 4.8997 4.8997 2.9211 Å, 90.00 90.00 120.00°
Last column: nearest neighbours and their distance in Å.
Space group P3m1 (No. 156)
One atom of each set of equivalent atoms:
Zr  0.0000  0.0000  0.0000 (multiplicity 1)  2 Zr 2.92, 3 Mo 2.95, 3 Tl 3.09
Tl  0.3333  0.6667  0.5713 (multiplicity 1)  2 Tl 2.92, 3 Mo 2.95, 3 Zr 3.09
Mo  0.6667  0.3333  0.2901 (multiplicity 1)  2 Mo 2.92, 3 Tl 2.95, 3 Zr 2.95

## Properties
Electronic total energy: -20.63 eV per formula unit
DFT formation energy: 0.371 eV per atom

***

[11]
A plane-wave DFT calculation with GGA-PBE was carried out for a relaxed Na2LaMoCl crystal.

Cell: 5.6977 5.6977 4.5075 Å, 90.00 90.00 90.00°
Last column: nearest neighbours and their distance in Å.
Space group P4/mmm (No. 123)
One atom of each set of equivalent atoms:
Na  0.0000  0.5000  0.0000 (multiplicity 2)  2 Mo 2.85
La  0.0000  0.0000  0.5000 (multiplicity 1)  8 Na 3.63, 4 Cl 4.03
Mo  0.5000  0.5000  0.0000 (multiplicity 1)  2 Cl 2.25
Cl  0.5000  0.5000  0.5000 (multiplicity 1)  2 Mo 2.25

## Properties
Electronic total energy: -16.75 eV per formula unit
Formation energy from raw total energies: 698 meV/atom

***

[12]
A plane-wave DFT calculation with GGA-PBE was carried out for a relaxed KTl2Ni2 crystal.

Cell: 8.1111 8.1111 3.1189 Å, 90.00 90.00 90.00°
Last column: nearest neighbours and their distance in Å.
Space group P4/mbm (No. 127)
One atom of each set of equivalent atoms:
K  0.0000  0.0000  0.0000 (multiplicity 2)  2 K 3.12, 4 Ni 3.21, 8 Tl 3.41
Tl  0.1631  0.3369  0.5000 (multiplicity 4)  6 Ni 2.82-2.90, 2 Tl 3.12
Ni  0.1235  0.6235  0.0000 (multiplicity 4)  6 Tl 2.82-2.90, 3 Ni 2.83-3.12

## Properties
Electronic total energy: -15.88 eV per formula unit
DFT formation energy: 0.303 eV per atom

***

[13]
A plane-wave DFT calculation with GGA-PBE was carried out for a relaxed CeTc2P2Ru crystal.

Cell: 3.9958 7.3599 6.4469 Å, 90.00 90.00 90.00°
Last column: nearest neighbours and their distance in Å.
Space group Pmc2_1 (No. 26)
One atom of each set of equivalent atoms:
Ce  0.0000  0.0787  0.0000 (multiplicity 2)  5 P 2.87-2.96, 4 Ru 3.00-3.15, 2 Tc 3.05-3.08
Tc  0.0000  0.3239  0.3880 (multiplicity 2)  4 P 2.28-2.38
Tc  0.5000  0.4282  0.0705 (multiplicity 2)  3 P 2.47-2.62
P  0.0000  0.3947  0.7395 (multiplicity 2)  2 Tc 2.28-2.33, 2 Ru 2.45
P  0.5000  0.1643  0.3061 (multiplicity 2)  3 Tc 2.38-2.47, 1 Ru 2.47
Ru  0.5000  0.2089  0.6858 (multiplicity 2)  3 P 2.45-2.47

## Properties
Electronic total energy: -50.65 eV per formula unit
DFT formation energy: -0.648 eV per atom

***

[14]
A plane-wave DFT calculation with GGA-PBE was carried out for a relaxed BaAu3Se3 crystal.

Cell: 5.0344 9.3775 9.3787 Å, 60.01 89.82 89.78°
Last column: nearest neighbours and their distance in Å.
Space group P-1 (No. 2)
One atom of each set of equivalent atoms:
Ba  0.2500  0.1667  0.1667 (multiplicity 2)  9 Se 3.12-3.49
Au  0.2480  0.3197  0.5147 (multiplicity 2)  1 Se 2.53, 2 Au 2.82
Au  0.2496  0.6657  0.3196 (multiplicity 2)  1 Se 2.53, 2 Au 2.82
Au  0.2525  0.5146  0.6657 (multiplicity 2)  1 Se 2.53, 2 Au 2.82
Se  0.2486  0.9189  0.0368 (multiplicity 2)  1 Au 2.53, 1 Se 2.83
Se  0.2502  0.0368  0.5443 (multiplicity 2)  1 Au 2.53
Se  0.2512  0.5443  0.9189 (multiplicity 2)  1 Au 2.53

## Properties
Electronic total energy: -25.59 eV per formula unit
Formation energy from raw total energies: -482 meV/atom

***

[15]
A plane-wave DFT calculation with GGA-PBE was carried out for a relaxed YBe3Pt5 crystal.

Cell: 3.8203 10.3269 13.6878 Å, 90.00 90.00 90.00°
Last column: nearest neighbours and their distance in Å.
Space group Cmcm (No. 63)
One atom of each set of equivalent atoms:
Y  0.0000  0.1993  0.2500 (multiplicity 4)  3 Be 2.79-3.04, 8 Pt 2.92-3.09
Be  0.0000  0.0712  0.7500 (multiplicity 4)  6 Pt 2.46-2.55
Be  0.0000  0.3745  0.0128 (multiplicity 8)  6 Pt 2.23-2.45
Pt  0.0000  0.0000  0.0000 (multiplicity 4)  4 Be 2.32
Pt  0.0000  0.2190  0.6005 (multiplicity 8)  3 Be 2.23-2.45
Pt  0.0000  0.4963  0.6518 (multiplicity 8)  4 Be 2.32-2.58

## Properties
Electronic total energy: -53.94 eV per formula unit
DFT formation energy: -0.677 eV per atom

***

[16]
A plane-wave DFT calculation with GGA-PBE was carried out for a relaxed Y2ZrCdO crystal.

Cell: 4.7965 4.7965 4.5311 Å, 90.00 90.00 90.00°
Last column: nearest neighbours and their distance in Å.
Space group P4/mmm (No. 123)
One atom of each set of equivalent atoms:
Y  0.0000  0.5000  0.0000 (multiplicity 2)  2 O 2.40
Zr  0.0000  0.0000  0.5000 (multiplicity 1)  2 O 2.27
Cd  0.5000  0.5000  0.5000 (multiplicity 1)  8 Y 3.30, 4 Zr 3.39
O  0.0000  0.0000  0.0000 (multiplicity 1)  2 Zr 2.27, 4 Y 2.40

## Properties
Electronic total energy: -33.43 eV per formula unit
Formation energy from raw total energies: -1216 meV/atom

***

[17]
A plane-wave DFT calculation with GGA-PBE was carried out for a relaxed PmAlCu2Ni crystal.

Cell: 3.7330 4.0156 11.1926 Å, 90.00 90.00 90.00°
Last column: nearest neighbours and their distance in Å.
Space group Imm2 (No. 44)
One atom of each set of equivalent atoms:
Pm  0.0000  0.0000  0.0000 (multiplicity 2)  4 Ni 2.98, 6 Cu 3.04-3.24
Al  0.0000  0.5000  0.7560 (multiplicity 2)  2 Ni 2.44, 2 Cu 2.54
Cu  0.0000  0.0000  0.6165 (multiplicity 2)  1 Ni 2.46, 2 Cu 2.49, 2 Al 2.54
Cu  0.0000  0.5000  0.2635 (multiplicity 2)  2 Cu 2.49, 2 Ni 2.50, 4 Al 2.74
Ni  0.0000  0.0000  0.3963 (multiplicity 2)  2 Al 2.44, 3 Cu 2.46-2.50

## Properties
Electronic total energy: -24.07 eV per formula unit
DFT formation energy: -0.321 eV per atom

***

[18]
A plane-wave DFT calculation with GGA-PBE was carried out for a relaxed Mg4HIr3 crystal.

Cell: 4.4784 4.5024 7.0802 Å, 107.79 90.05 119.80°
Last column: nearest neighbours and their distance in Å.
Space group P1 (No. 1)
One atom of each set of equivalent atoms:
Mg  0.0000  0.0000  0.0000 (multiplicity 1)  1 H 2.14
Mg  0.1485  0.2983  0.4573 (multiplicity 1)  1 H 2.25
Mg  0.4221  0.8443  0.2718 (multiplicity 1)  4 Ir 2.66-2.69, 3 Mg 2.87
Mg  0.5832  0.1674  0.7417 (multiplicity 1)  2 H 2.24-2.25
H  0.0638  0.1305  0.7307 (multiplicity 1)  2 Ir 1.75-1.76
Ir  0.2996  0.5994  0.8698 (multiplicity 1)  1 H 1.75
Ir  0.7211  0.4423  0.1657 (multiplicity 1)  1 Ir 2.57, 7 Mg 2.69-2.82
Ir  0.8399  0.6809  0.5532 (multiplicity 1)  1 H 1.76

## Properties
Electronic total energy: -38.64 eV per formula unit

***

[19]
A plane-wave DFT calculation with GGA-PBE was carried out for a relaxed La2PmPr5Th crystal.

Cell: 8.9220 8.9220 16.0949 Å, 90.00 90.00 90.00°
Last column: nearest neighbours and their distance in Å.
Space group I4/mcm (No. 140)
One atom of each set of equivalent atoms:
La  0.1176  0.3824  0.0000 (multiplicity 8)  1 La 2.97, 2 Pr 3.12
Pm  0.0000  0.5000  0.2500 (multiplicity 4)  4 Pr 3.22
Pr  0.0000  0.0000  0.0000 (multiplicity 4)  4 La 3.57, 8 Pr 3.93
Pr  0.2164  0.2836  0.3563 (multiplicity 16)  1 La 3.12, 1 Pm 3.22
Th  0.0000  0.0000  0.2500 (multiplicity 4)  10 Pr 3.61-4.02

## Properties
Electronic total energy: -43.50 eV per formula unit
DFT formation energy: 0.270 eV per atom

***

[20]
A plane-wave DFT calculation with GGA-PBE was carried out for a relaxed Mg2CuP crystal.

Cell: 4.2147 4.2147 3.6142 Å, 90.00 90.00 90.00°
Last column: nearest neighbours and their distance in Å.
Space group P4/mmm (No. 123)
One atom of each set of equivalent atoms:
Mg  0.0000  0.5000  0.0000 (multiplicity 2)  4 P 2.78, 4 Cu 2.78, 4 Mg 2.98
Cu  0.0000  0.0000  0.5000 (multiplicity 1)  8 Mg 2.78, 4 P 2.98
P  0.5000  0.5000  0.5000 (multiplicity 1)  8 Mg 2.78, 4 Cu 2.98

## Properties
Electronic total energy: -13.51 eV per formula unit
DFT formation energy: -0.203 eV per atom